A plane-wave DFT calculation with PBE-GGA was carried out for a geometry-optimized PuZrMn2 structure.

Computed properties:
energy relative to the elements = 33 meV per atom
symmetry = P4/mmm (123)

Lattice parameters (Å, degrees): 4.691 4.691 3.231 90.00 90.00 90.00
Positions (direct):
Pu (0.000, 0.000, 0.000)
Zr (0.500, 0.500, 0.000)
Mn (0.000, 0.500, 0.500)
Mn (0.500, 0.000, 0.500)